[1]
An optimized crystal structure of Rb4Cu5Te6. Source: Alexandria, functional GGA-PBE.

Geometry as POSCAR:
```
Rb4Cu5Te6
1.0
-2.023 2.439 3.142
-5.662 -10.079 1.009
12.956 -5.979 12.982
Cu Rb Te
10 8 12
Direct
0.265 0.529 0.653
0.625 0.250 0.745
0.368 0.735 0.708
0.375 0.750 0.245
0.847 0.693 0.121
0.735 0.471 0.153
0.153 0.307 0.621
0.632 0.265 0.208
0.311 0.622 0.058
0.689 0.378 0.558
0.946 0.893 0.969
0.147 0.294 0.955
0.996 0.993 0.709
0.207 0.414 0.329
0.004 0.007 0.209
0.793 0.586 0.829
0.054 0.107 0.469
0.853 0.706 0.455
0.235 0.471 0.517
0.421 0.842 0.827
0.414 0.828 0.113
0.159 0.318 0.147
0.186 0.373 0.757
0.548 0.095 0.846
0.586 0.172 0.613
0.841 0.682 0.647
0.452 0.905 0.346
0.765 0.529 0.017
0.579 0.158 0.327
0.814 0.627 0.257
```

Results
Density of states at the Fermi level: 13.9 states/eV/cell



[2]
An optimized crystal structure of RbCu2Te2. Source: Alexandria, functional GGA-PBE.

Geometry as POSCAR:
```
RbCu2Te2
1.0
-3.047 -5.749 -3.229
6.709 -1.028 2.587
-4.125 1.650 5.580
Cu Te Rb
4 4 2
Direct
0.263 0.013 0.525
0.487 0.237 0.975
0.737 0.987 0.475
0.513 0.763 0.025
0.807 0.693 0.250
0.443 0.057 0.250
0.557 0.943 0.750
0.193 0.307 0.750
0.875 0.625 0.750
0.125 0.375 0.250
```

Results
Density of states at the Fermi level: 5.9 states/eV/cell



[3]
An optimized crystal structure of RbCu5Te4. Source: Alexandria, functional GGA-PBE.

Geometry as POSCAR:
```
RbCu5Te4
1.0
-0.908 -3.699 0.670
11.521 -2.375 2.496
-1.975 2.578 11.567
Cu Te Rb
10 8 2
Direct
0.018 0.391 0.109
0.018 0.609 0.109
0.481 0.000 0.500
0.018 0.609 0.891
0.982 0.109 0.609
0.982 0.891 0.391
0.519 0.500 0.000
0.018 0.391 0.891
0.982 0.891 0.609
0.982 0.109 0.391
0.584 0.500 0.769
0.416 0.000 0.269
0.553 0.769 0.500
0.447 0.269 0.000
0.416 0.000 0.731
0.553 0.231 0.500
0.584 0.500 0.231
0.447 0.731 0.000
0.921 0.000 0.000
0.079 0.500 0.500
```

Results
Density of states at the Fermi level: 10.1 states/eV/cell



[4]
An optimized crystal structure of RbCu6Te8. Source: Alexandria, functional GGA-PBE.

Geometry as POSCAR:
```
RbCu6Te8
1.0
-1.304 -4.990 -5.177
6.052 -3.898 1.257
-3.196 -4.816 4.471
Te Cu Rb
8 6 1
Direct
0.895 0.254 0.544
0.254 0.544 0.895
0.105 0.746 0.456
0.746 0.746 0.746
0.544 0.895 0.254
0.746 0.456 0.105
0.456 0.105 0.746
0.254 0.254 0.254
0.572 0.253 0.403
0.253 0.403 0.572
0.403 0.572 0.253
0.428 0.747 0.597
0.597 0.428 0.747
0.747 0.597 0.428
0.000 0.000 0.000
```

Results
Density of states at the Fermi level: 7.7 states/eV/cell



[5]
An optimized crystal structure of RbCu2Te. Source: Alexandria, functional GGA-PBE.

Geometry as POSCAR:
```
RbCu2Te
1.0
-3.760 -0.859 -3.542
-0.250 -5.016 1.482
-8.318 -0.796 5.152
Rb Te Cu
2 2 4
Direct
0.500 0.500 0.000
0.250 0.750 0.500
0.750 0.250 0.500
0.000 0.000 0.000
0.875 0.125 0.250
0.875 0.125 0.750
0.875 0.625 0.250
0.375 0.125 0.750
```

Results
Density of states at the Fermi level: 2.0 states/eV/cell



[6]
An optimized crystal structure of RbCuTe3. Source: Alexandria, functional GGA-PBE.

Geometry as POSCAR:
```
RbCuTe3
1.0
-4.550 1.391 5.121
-6.258 -0.349 -3.096
-2.503 -6.261 1.846
Te Rb Cu
6 2 2
Direct
0.746 0.244 0.743
0.743 0.746 0.244
0.244 0.743 0.746
0.744 0.246 0.243
0.243 0.744 0.246
0.246 0.243 0.744
0.744 0.744 0.744
0.244 0.244 0.244
0.495 0.495 0.495
0.995 0.995 0.995
```

Results
Excess energy over the best structure of this formula in the dataset: 150.2 meV/atom
Density of states at the Fermi level: 2.8 states/eV/cell



| no. | E (eV/atom) | magnetic moment (μB/cell) | volume (Å³ per cell) |
| --- | --- | --- | --- |
| 1 | -3.314 | 0.00 | 980.3 |
| 2 | -3.459 | 0.00 | 285.0 |
| 3 | -3.458 | 0.00 | 558.8 |
| 4 | -3.398 | 0.00 | 385.3 |
| 5 | -3.116 | 0.00 | 249.3 |
| 6 | -3.106 | 0.00 | 314.1 |